No. 1
An optimized crystal structure of Sc3Tl2In, computed with PBE-GGA.

a b c (Å): 3.2470 3.2470 13.1181
angles (deg): 90.00 90.00 90.00
Last column: nearest neighbours and their distance in Å.
Element x y z (fractional)
Sc: 0.0000 0.0000 0.0000  8 Tl 3.18, 4 Sc 3.25
Sc: 0.0000 0.0000 0.3359  4 In 3.15, 4 Tl 3.19, 4 Sc 3.25
Sc: 0.0000 0.0000 0.6641  4 In 3.15, 4 Tl 3.19, 4 Sc 3.25
Tl: 0.5000 0.5000 0.1673  8 Sc 3.18-3.19, 4 Tl 3.25
Tl: 0.5000 0.5000 0.8327  8 Sc 3.18-3.19, 4 Tl 3.25
In: 0.5000 0.5000 0.5000  8 Sc 3.15, 4 In 3.25

Calculated values
- size of the total moment (Bohr magnetons per cell) = 1.32
- calculated total energy (eV/atom) = -4.727
- D(E_F) (states/eV/f.u.) = 4.20

No. 2
An optimized crystal structure of TmScTlIn, computed with PBE-GGA.

a b c (Å): 5.1836 5.1836 5.1836
angles (deg): 60.00 60.00 60.00
Last column: nearest neighbours and their distance in Å.
Element x y z (fractional)
Tm: 0.0000 0.0000 0.0000  4 In 3.17, 4 Tl 3.17
Sc: 0.5000 0.5000 0.5000  4 Tl 3.17, 4 In 3.17
Tl: 0.7500 0.7500 0.7500  4 Tm 3.17, 4 Sc 3.17
In: 0.2500 0.2500 0.2500  4 Sc 3.17, 4 Tm 3.17

Calculated values
- size of the total moment (Bohr magnetons per cell) = 0.00
- calculated total energy (eV/atom) = -4.313
- distance to the lowest polymorph of the same formula (meV per atom) = 4.7
- D(E_F) (states/eV/f.u.) = 2.23